VASP calculation (PBE) on an optimized crystal structure of Ac4Pd2Pt5.

Structure (POSCAR):
```
Ac4Pd2Pt5
1.0
4.211 0.000 0.000
0.000 7.452 -0.221
0.000 -0.165 8.598
Ac Pd Pt
4 2 5
Cartesian
2.106 5.721 0.828
2.106 1.850 3.385
2.106 1.565 7.549
2.106 5.437 4.991
0.000 0.571 5.513
0.000 6.716 2.864
0.000 3.369 5.708
0.000 3.726 -0.110
0.000 6.024 7.180
0.000 1.262 1.197
0.000 3.917 2.669
```

Calculated formation energy   -96.0 kJ/mol of atoms

***

VASP calculation (PBE) on an optimized crystal structure of AlAuSCl2.

Structure (POSCAR):
```
AlAuSCl2
1.0
4.981 0.000 0.000
0.000 4.981 0.000
0.000 0.000 4.985
Al S Cl Au
1 1 2 1
Cartesian
2.491 2.491 2.492
0.000 0.000 2.492
2.491 0.000 0.000
0.000 2.491 0.000
0.000 0.000 0.000
```

Formation energy from raw total energies   0.1638 eV per atom
Energy above the most stable polymorph in this dataset   213 kJ/mol of formula units

***

VASP calculation (PBE) on an optimized crystal structure of CsDyMnI6.

Structure (POSCAR):
```
CsDyMnI6
1.0
7.730 0.002 0.002
3.867 6.694 -0.003
0.003 -0.007 8.757
I Dy Mn Cs
6 1 1 1
Cartesian
5.239 4.165 2.661
6.230 2.449 6.096
2.494 4.166 6.094
4.859 0.071 2.662
2.873 0.076 6.094
1.506 2.445 2.661
7.733 4.460 4.378
3.869 2.230 4.378
3.871 6.687 8.753
```

Formation energy from raw total energies   -1.1119 eV per atom

***

VASP calculation (PBE) on an optimized crystal structure of Rb2NaSiAs2.

Structure (POSCAR):
```
Rb2NaSiAs2
1.0
-6.768 -1.344 -1.540
-0.606 -3.428 5.656
1.515 9.001 1.718
Si Rb As Na
2 4 4 2
Cartesian
-3.839 -3.243 3.472
-3.536 -1.529 0.644
-3.427 2.264 4.904
0.289 4.655 2.852
-2.433 1.967 0.931
-6.149 -0.425 2.983
-3.133 5.246 2.843
-2.727 -1.016 2.991
-0.788 4.058 6.274
-5.072 0.172 -0.439
-0.152 -0.857 1.414
-0.455 -2.571 4.242
```

Formation energy from raw total energies   -0.3120 eV per atom

***

VASP calculation (PBE) on an optimized crystal structure of Ba2LaZn.

Structure (POSCAR):
```
Ba2LaZn
1.0
-1.836 -4.713 3.073
0.017 -5.359 -2.511
3.902 -4.084 1.767
La Zn Ba
1 1 2
Cartesian
1.041 -7.078 1.164
1.562 -10.617 1.746
0.521 -3.539 0.582
0.000 0.000 0.000
```

Calculated formation energy   20.4 kJ/mol of atoms

***

VASP calculation (PBE) on an optimized crystal structure of Y4As3.

Structure (POSCAR):
```
Y4As3
1.0
2.948 -5.106 0.000
2.948 5.106 0.000
0.000 0.000 5.541
As Y
3 4
Cartesian
1.474 2.553 0.000
1.474 -2.553 0.000
2.948 0.000 0.000
0.000 0.000 4.187
0.000 0.000 1.354
2.948 -1.702 2.771
2.948 1.702 2.771
```

Energy above the most stable polymorph in this dataset   490 kJ/mol of formula units
Calculated formation energy   -54.7 kJ/mol of atoms

***

VASP calculation (PBE) on an optimized crystal structure of RbPd2O3.

Structure (POSCAR):
```
RbPd2O3
1.0
-0.620 -3.563 -0.437
6.510 0.542 1.533
-2.043 -0.740 8.934
Pd O Rb
4 6 2
Cartesian
3.516 -1.564 7.772
-1.021 -0.370 4.467
0.331 -2.197 2.260
0.000 0.000 0.000
0.796 -2.040 0.318
3.942 -1.399 5.821
3.956 -3.496 7.712
-0.094 -2.362 4.210
3.052 -1.721 9.714
-0.108 -0.265 2.319
0.342 -2.773 6.946
3.506 -0.988 3.086
```

Formation energy from raw total energies   -0.4793 eV per atom
Energy above the most stable polymorph in this dataset   147 kJ/mol of formula units

***

VASP calculation (PBE) on an optimized crystal structure of U6Os.

Structure (POSCAR):
```
U6Os
1.0
-3.061 5.271 0.164
-2.483 -3.916 3.959
5.827 0.986 1.500
U Os
6 1
Cartesian
-2.081 2.242 2.477
-1.936 -0.055 3.426
2.363 0.099 3.146
2.219 2.396 2.197
0.286 -1.126 3.761
-0.003 3.467 1.863
0.000 0.000 0.000
```

Calculated formation energy   159.2 kJ/mol of atoms

***

no.,N(E_F) (states/eV per cell),magnetic moment (Bohr magnetons per cell)
1,4.6,0.00
2,3.7,0.00
3,0.0,5.00
4,6.1,0.00
5,5.9,0.35
6,3.2,0.14
7,3.1,0.00
8,25.7,3.59